Entry 1:
A geometry-optimized Hf8Al2Ir structure, computed with PBE-GGA.

Geometry as POSCAR:
```
Hf8Al2Ir
1.0
3.8752 -6.4037 0.0000
3.8752 6.4037 0.0000
-2.2148 0.0000 4.6448
Hf Al Ir
8 2 1
direct
0.0997 0.3315 0.6287
0.2053 0.7947 0.0000
0.3315 0.0997 0.6287
0.3843 0.3843 0.1982
0.6157 0.6157 0.8018
0.6685 0.9003 0.3713
0.7947 0.2053 0.0000
0.9003 0.6685 0.3713
0.3010 0.6990 0.5000
0.6990 0.3010 0.5000
0.0000 0.0000 0.0000
```

Output
The value obtained for the energy of formation is -1.36 eV per formula unit. The calculation puts the final energy at -8.849 eV per atom.

---

Entry 2:
A geometry-optimized In2GaPbI5 structure, computed with PBE-GGA.

Geometry as POSCAR:
```
In2GaPbI5
1.0
2.3402 -10.1061 0.0000
2.3402 10.1061 0.0000
0.0000 0.0000 17.0968
In Ga Pb I
4 2 2 10
direct
0.0770 0.9230 0.5000
0.1285 0.8715 0.1136
0.8715 0.1285 0.6136
0.9230 0.0770 0.0000
0.4483 0.5517 0.2978
0.5517 0.4483 0.7978
0.2399 0.7601 0.8808
0.7601 0.2399 0.3808
0.0798 0.9202 0.9208
0.2534 0.7466 0.5180
0.2869 0.7131 0.2531
0.3967 0.6033 0.8537
0.4918 0.5082 0.6175
0.5082 0.4918 0.1175
0.6033 0.3967 0.3537
0.7131 0.2869 0.7531
0.7466 0.2534 0.0180
0.9202 0.0798 0.4208
```

Output
The calculation puts the final energy at -2.689 eV per atom.

---

Entry 3:
A geometry-optimized LaSm8Cd2 structure, computed with PBE-GGA.

Geometry as POSCAR:
```
LaSm8Cd2
1.0
7.0658 -5.3743 0.0000
7.0658 5.3743 0.0000
-1.0929 0.0000 5.2660
La Sm Cd
1 8 2
direct
0.0000 0.0000 0.0000
0.1673 0.6326 0.2139
0.2396 0.2396 0.1278
0.3674 0.8327 0.7861
0.4145 0.4145 0.7070
0.5855 0.5855 0.2930
0.6326 0.1673 0.2139
0.7604 0.7604 0.8722
0.8327 0.3674 0.7861
0.1334 0.1334 0.5618
0.8666 0.8666 0.4382
```

Output
The value obtained for the energy of formation is 3.32 eV per formula unit. The calculation puts the final energy at -3.745 eV per atom.

---

Entry 4:
A geometry-optimized Tl2CrAs structure, computed with PBE-GGA.

Geometry as POSCAR:
```
Tl2CrAs
1.0
4.5720 0.0000 0.0000
0.0000 3.7169 0.0000
-2.2780 0.0000 5.7171
Tl Cr As
2 1 1
direct
0.0000 0.0000 0.0000
0.3063 0.5000 0.6105
0.5676 0.5000 0.1379
0.7115 0.0000 0.4193
```

Output
The value obtained for the energy of formation is 0.95 eV per formula unit. As for the excess energy over the best structure of this formula in the dataset: 119 meV per atom. The calculation puts the final energy at -4.514 eV per atom.

---

Entry 5:
A geometry-optimized KScSbRh2 structure, computed with PBE-GGA.

Geometry as POSCAR:
```
KScSbRh2
1.0
4.6465 0.0000 0.0000
0.0000 4.6465 0.0000
0.0000 0.0000 5.6424
K Sc Sb Rh
1 1 1 2
direct
0.0000 0.0000 0.0000
0.5000 0.5000 0.5000
0.0000 0.0000 0.5000
0.0000 0.5000 0.0000
0.5000 0.0000 0.0000
```

Output
The calculation puts the final energy at -3.845 eV per atom.

---

Entry 6:
A geometry-optimized TmSc2Ga2Ag2 structure, computed with PBE-GGA.

Geometry as POSCAR:
```
TmSc2Ga2Ag2
1.0
2.2574 1.3033 8.3737
-2.2574 1.3033 8.3737
0.0000 -2.6066 8.3737
Tm Sc Ga Ag
1 2 2 2
direct
0.0000 0.0000 0.0000
0.1288 0.1288 0.1288
0.8712 0.8712 0.8712
0.2516 0.2516 0.2516
0.7484 0.7484 0.7484
0.4055 0.4055 0.4055
0.5945 0.5945 0.5945
```

Output
The value obtained for the energy of formation is -2.51 eV per formula unit. The calculation puts the final energy at -4.486 eV per atom.

---

Entry 7:
A geometry-optimized CeSiPd2 structure, computed with PBE-GGA.

Geometry as POSCAR:
```
CeSiPd2
1.0
2.1150 1.2211 4.9808
-2.1150 1.2211 4.9808
0.0000 -2.4422 4.9808
Ce Si Pd
1 1 2
direct
0.0000 0.0000 0.0000
0.5000 0.5000 0.5000
0.2132 0.2132 0.2132
0.7868 0.7868 0.7868
```

Output
The calculation puts the final energy at -6.188 eV per atom.

---

Entry 8:
A geometry-optimized Pa2FeTc structure, computed with PBE-GGA.

Geometry as POSCAR:
```
Pa2FeTc
1.0
0.0000 3.3884 3.3884
3.3884 0.0000 3.3884
3.3884 3.3884 0.0000
Pa Fe Tc
2 1 1
direct
0.2500 0.2500 0.2500
0.7500 0.7500 0.7500
0.0000 0.0000 0.0000
0.5000 0.5000 0.5000
```

Output
The value obtained for the energy of formation is -0.13 eV per formula unit. As for the excess energy over the best structure of this formula in the dataset: 46 meV per atom. The calculation puts the final energy at -9.488 eV per atom.

---

Look up the final energy of the sixth one. -4.486 eV per atom